[1]
Here is crystalline Cs3Au2F7 at its relaxed geometry from the Alexandria database. Energies are from GGA-PBE.

Calculated values
**Magnetic moment**: 0.0000 μB per atom
**Total energy**: -3.67 eV/atom
**Formation energy without anion corrections**: -1.821 eV/atom
**SG**: Cmmm

Unit cell a=4.524 b=4.748 c=12.092 alpha=101.32 beta=90.00 gamma=90.00
Fractional coordinates of all 12 atoms:
F1 0.500 0.907 0.815
F2 0.000 0.000 0.000
F3 0.000 0.407 0.815
F4 0.000 0.187 0.373
F5 0.500 0.093 0.185
F6 0.000 0.593 0.185
F7 0.000 0.813 0.627
Cs1 0.500 0.680 0.359
Cs2 0.500 0.500 0.000
Cs3 0.500 0.320 0.641
Au1 0.000 0.906 0.813
Au2 0.000 0.094 0.187

[2]
Here is crystalline CaSb at its relaxed geometry from the Alexandria database. Energies are from GGA-PBE.

Calculated values
**Magnetic moment**: 0.0000 μB per atom
**Total energy**: -3.15 eV/atom
**Formation energy without anion corrections**: -0.084 eV/atom
**SG**: P-3m1

Unit cell a=3.595 b=3.595 c=12.037 alpha=90.00 beta=90.00 gamma=120.00
Fractional coordinates of all 4 atoms:
Ca1 0.000 0.000 0.987
Ca2 0.667 0.333 0.263
Sb1 0.667 0.333 0.778
Sb2 0.000 0.000 0.472

[3]
Here is crystalline BaLaY2 at its relaxed geometry from the Alexandria database. Energies are from GGA-PBE.

Calculated values
**Magnetic moment**: 0.0004 μB per atom
**Total energy**: -4.68 eV/atom
**Energy above the lowest structure with this stoichiometry**: 130 meV/atom
**SG**: Immm
**ΔH_f (0 K)**: 25.5 kJ/mol of atoms

Unit cell a=7.280 b=7.280 c=7.280 alpha=148.72 beta=129.43 gamma=60.68
Fractional coordinates of all 4 atoms:
Y1 0.012 0.012 0.000
Y2 0.488 0.488 0.000
La1 0.250 0.750 0.500
Ba1 0.750 0.250 0.500